VASP calculation (GGA+U) on crystalline SmMo2O8 at its relaxed geometry.

Lattice parameters (Å, degrees): 4.8702 4.8702 6.6454 111.50 111.50 90.00
With the nearest neighbours (Å) after each atom.
Fractional positions:
O 0.6185 0.1205 0.7070  2 Mo 2.00-2.18
O 0.9114 0.8795 0.2930  2 Mo 2.00-2.18
O 0.1205 0.0886 0.7070  2 Mo 2.00-2.18
O 0.8795 0.3815 0.2930  2 Mo 2.00-2.18
O 0.0886 0.5866 0.7070  2 Mo 2.00-2.18
O 0.5866 0.6185 0.7070  2 Mo 2.00-2.18
O 0.4134 0.9114 0.2930  2 Mo 2.00-2.18
O 0.3815 0.4134 0.2930  2 Mo 2.00-2.18
Sm 0.5000 0.5000 0.0000  8 O 2.39
Mo 0.7500 0.2500 0.5000  8 O 2.00-2.18
Mo 0.2500 0.7500 0.5000  8 O 2.00-2.18

Calculated values
The density of states at the Fermi level is 2.79 states/eV/f.u. The total energy is -6.762 eV/atom. The calculation puts the total magnetization at 0.0 μB/cell. The space group is No. 97.